Density functional theory data (GGA+U) for a geometry-optimized Na3Sm3CrO8 structure.

Cell: 6.8215 6.8160 6.8118 Å, 120.09 90.00 120.03°
With the nearest neighbours (Å) after each atom.
Element x y z (fractional)
Na: 0.0000 0.0000 0.0000  6 O 2.51
Na: 0.0000 0.5000 0.0000  6 O 2.50-2.52
Na: 0.5000 0.5000 0.0000  6 O 2.50-2.52
Sm: 0.5000 0.0000 0.5000  6 O 2.31-2.37
Sm: 0.5000 0.5000 0.5000  6 O 2.31-2.38
Sm: 0.0000 0.5000 0.5000  6 O 2.31-2.38
Cr: 0.0000 0.0000 0.5000  6 O 2.01-2.03
O: 0.2606 0.5212 0.2827  3 Sm 2.31, 3 Na 2.51-2.52
O: 0.7394 0.4788 0.7173  3 Sm 2.31, 3 Na 2.51-2.52
O: 0.7909 0.5819 0.3049  1 Cr 2.01
O: 0.2091 0.4181 0.6951  1 Cr 2.01
O: 0.7899 0.0139 0.3041  1 Cr 2.03
O: 0.2101 0.9861 0.6959  1 Cr 2.03
O: 0.2240 0.0139 0.3041  1 Cr 2.03
O: 0.7760 0.9861 0.6959  1 Cr 2.03

Summary:
Calculated total energy ... -6.782 eV/atom
Space-group type ... C2/m, No. 12